## 1
PBE AcCdPdAu, relaxed; spin magnetization = 0.00 μB/f.u.
1.0
-1.435 -1.417 4.758
2.743 -3.539 2.580
2.841 1.405 4.081
Au Pd Ac Cd
1 1 1 1
Direct
0.000 0.000 0.000
0.500 0.500 0.500
0.250 0.250 0.250
0.750 0.750 0.750

## 2
PBE AcCdPdAu, relaxed; spin magnetization = 0.00 μB/f.u.
1.0
4.804 0.000 0.000
-2.402 4.154 -0.001
0.000 -2.765 4.968
Ac Cd Au Pd
1 1 1 1
Direct
0.618 0.236 0.496
0.110 0.219 0.971
0.834 0.669 0.145
0.405 0.809 0.856

Decreasing stability: 2, 1

## 1
PBE AcCe2Au, relaxed; spin magnetization = 2.56 μB/f.u.
1.0
-2.812 0.037 -5.049
-3.881 -0.525 2.158
-0.445 4.441 0.281
Ce Ac Au
2 1 1
Direct
0.000 0.500 0.000
0.000 0.000 0.500
0.500 0.000 0.000
0.500 0.500 0.500

## 2
PBE AcCe2Au, relaxed; spin magnetization = 3.23 μB/f.u.
1.0
-2.328 -0.150 4.910
-1.167 -4.781 2.310
2.846 -1.705 4.306
Au Ce Ac
1 2 1
Direct
0.500 0.500 0.500
0.250 0.250 0.250
0.750 0.750 0.750
0.000 0.000 0.000

## 3
PBE AcCe2Au, relaxed; spin magnetization = 1.66 μB/f.u.
1.0
-2.244 0.462 3.045
0.218 -3.734 0.728
6.775 1.329 4.789
Ac Ce Au
1 2 1
Direct
0.500 0.500 0.500
0.000 0.000 0.804
0.000 0.000 0.196
0.500 0.500 0.000

Decreasing stability: 3, 1, 2

## 1
PBE Ac2CeAu4, relaxed; spin magnetization = 0.79 μB/f.u.
1.0
5.416 0.000 0.000
0.000 5.416 0.000
-2.708 -2.708 7.991
Au Ce Ac
4 1 2
Direct
0.819 0.819 0.639
0.181 0.181 0.361
0.000 0.500 0.000
0.500 0.000 0.000
0.000 0.000 0.000
0.372 0.372 0.743
0.628 0.628 0.257

## 2
PBE Ac2CeAu4, relaxed; spin magnetization = 1.40 μB/f.u.
1.0
5.294 0.000 -1.688
-0.538 5.267 -1.688
-0.448 -0.497 7.741
Au Ac Ce
4 2 1
Direct
0.609 0.109 0.218
0.391 0.891 0.782
0.891 0.391 0.782
0.109 0.609 0.218
0.714 0.714 0.428
0.286 0.286 0.572
0.000 0.000 0.000

Decreasing stability: 2, 1